1.
VASP calculation (PBE) on an optimized crystal structure of KNpPd2Se4.

ΔE_f (raw) = -0.5843 eV per atom

Cell and atoms, written as CIF:
```
data_KNpPd2Se4
_space_group_name_H-M_alt 'I 2 2 2'
_space_group_IT_number 23
_cell_length_a 6.966
_cell_length_b 6.982
_cell_length_c 8.531
_cell_angle_alpha 90.00
_cell_angle_beta 90.00
_cell_angle_gamma 90.00
loop_
_space_group_symop_operation_xyz
'x,y,z'
'-x,-y,z'
'x,-y,-z'
'-x,y,-z'
'x+1/2,y+1/2,z+1/2'
'-x+1/2,-y+1/2,z+1/2'
'x+1/2,-y+1/2,-z+1/2'
'-x+1/2,y+1/2,-z+1/2'
loop_
_atom_site_label
_atom_site_type_symbol
_atom_site_fract_x
_atom_site_fract_y
_atom_site_fract_z
K1 K 0.000 0.000 0.000
Np1 Np 0.000 0.000 0.500
Pd1 Pd 0.000 0.500 0.249
Se1 Se 0.221 0.221 0.299
```

2.
VASP calculation (PBE) on an optimized crystal structure of KNpPdSe4.

ΔE_f (raw) = -0.7727 eV per atom

Cell and atoms, written as CIF:
```
data_KNpPdSe4
_space_group_name_H-M_alt 'P 1 21/m 1'
_space_group_IT_number 11
_cell_length_a 7.274
_cell_length_b 5.690
_cell_length_c 9.402
_cell_angle_alpha 90.00
_cell_angle_beta 108.12
_cell_angle_gamma 90.00
loop_
_space_group_symop_operation_xyz
'x,y,z'
'-x,-y,-z'
'-x,y+1/2,-z'
'x,-y+1/2,z'
loop_
_atom_site_label
_atom_site_type_symbol
_atom_site_fract_x
_atom_site_fract_y
_atom_site_fract_z
K1 K 0.243 0.250 0.055
Np1 Np 0.274 0.250 0.553
Pd1 Pd 0.247 0.750 0.307
Se1 Se 0.030 0.515 0.702
Se2 Se 0.420 0.750 0.580
Se3 Se 0.479 0.750 0.162
```

3.
VASP calculation (PBE) on an optimized crystal structure of KNpPdSe3.

ΔE_f (raw) = -0.9847 eV per atom

Cell and atoms, written as CIF:
```
data_KNpPdSe3
_space_group_name_H-M_alt 'P 1 21/m 1'
_space_group_IT_number 11
_cell_length_a 8.878
_cell_length_b 4.172
_cell_length_c 9.616
_cell_angle_alpha 90.00
_cell_angle_beta 107.92
_cell_angle_gamma 90.00
loop_
_space_group_symop_operation_xyz
'x,y,z'
'-x,-y,-z'
'-x,y+1/2,-z'
'x,-y+1/2,z'
loop_
_atom_site_label
_atom_site_type_symbol
_atom_site_fract_x
_atom_site_fract_y
_atom_site_fract_z
K1 K 0.203 0.250 0.248
Np1 Np 0.316 0.750 0.842
Pd1 Pd 0.088 0.250 0.588
Se1 Se 0.117 0.250 0.868
Se2 Se 0.224 0.750 0.540
Se3 Se 0.459 0.750 0.154
```